Entry 1:
First-principles (PBE) data for an optimized crystal structure of Nd5TlIr, as listed in Alexandria via LeMat-Bulk.

Lattice parameters (Å, degrees): 6.235 6.235 11.963 77.63 77.63 77.37
Positions (direct):
Tl  0.581  0.419  0.750
Tl  0.419  0.581  0.250
Nd  0.551  0.215  0.054
Nd  0.574  0.931  0.628
Nd  0.931  0.574  0.128
Nd  0.785  0.449  0.446
Nd  0.449  0.785  0.946
Nd  0.426  0.069  0.372
Nd  0.989  0.011  0.750
Nd  0.215  0.551  0.554
Nd  0.069  0.426  0.872
Nd  0.011  0.989  0.250
Ir  0.000  0.000  0.000
Ir  0.000  0.000  0.500

* formation energy: -0.237 eV per atom


Entry 2:
First-principles (PBE) data for an optimized crystal structure of NaGeP2Rh, as listed in Alexandria via LeMat-Bulk.

Lattice parameters (Å, degrees): 4.659 4.936 4.659 90.00 90.00 90.00
Positions (direct):
Ge  0.000  0.500  0.000
Na  0.500  0.500  0.500
P  0.500  0.000  0.000
P  0.000  0.000  0.500
Rh  0.000  0.000  0.000

* formation energy: 0.263 eV per atom


Entry 3:
First-principles (PBE) data for an optimized crystal structure of TbPuPdAu, as listed in Alexandria via LeMat-Bulk.

Lattice parameters (Å, degrees): 5.066 5.066 5.066 60.00 60.00 60.00
Each line ends with the local moment (μB).
Positions (direct):
Au  0.750  0.750  0.750  0.03
Tb  0.000  0.000  0.000  0.13
Pd  0.250  0.250  0.250  0.00
Pu  0.500  0.500  0.500  5.31

* formation energy: -0.583 eV per atom


Entry 4:
First-principles (PBE) data for an optimized crystal structure of LaHgCl, as listed in Alexandria via LeMat-Bulk.

Lattice parameters (Å, degrees): 7.404 7.404 7.404 151.22 151.22 41.16
Positions (direct):
La  0.651  0.651  0.000
Cl  0.044  0.044  0.000
Hg  0.305  0.305  0.000

* raw formation energy: -0.986 eV per atom
* relative energy among the computed polymorphs: 0.223 eV per atom


Entry 5:
First-principles (PBE) data for an optimized crystal structure of BaAsO2F, as listed in Alexandria via LeMat-Bulk.

Lattice parameters (Å, degrees): 4.842 4.842 4.809 90.00 90.00 90.00
Positions (direct):
O  0.500  0.000  0.000
O  0.000  0.500  0.000
As  0.500  0.500  0.500
F  0.000  0.000  0.500
Ba  0.000  0.000  0.000

* raw formation energy: -0.357 eV per atom


Entry 6:
First-principles (PBE) data for an optimized crystal structure of NaDy3Ag2Se6, as listed in Alexandria via LeMat-Bulk.

Lattice parameters (Å, degrees): 4.156 8.187 9.209 101.91 103.04 90.00
Positions (direct):
Dy  0.830  0.178  0.660
Dy  0.170  0.822  0.340
Dy  0.500  0.500  0.000
Ag  0.835  0.685  0.670
Ag  0.165  0.315  0.330
Se  0.666  0.577  0.331
Se  0.995  0.257  0.990
Se  0.334  0.423  0.669
Se  0.332  0.930  0.663
Se  0.005  0.743  0.010
Se  0.668  0.070  0.337
Na  0.500  0.000  0.000

* raw formation energy: -1.344 eV per atom


Entry 7:
First-principles (PBE) data for an optimized crystal structure of AcPm5Sm5, as listed in Alexandria via LeMat-Bulk.

Lattice parameters (Å, degrees): 6.288 6.288 11.644 90.00 90.00 120.00
Positions (direct):
Sm  0.667  0.333  0.837
Sm  0.000  0.000  0.000
Sm  0.333  0.667  0.336
Sm  0.333  0.667  0.664
Sm  0.667  0.333  0.163
Pm  0.830  0.661  0.500
Pm  0.339  0.170  0.500
Pm  0.000  0.000  0.265
Pm  0.830  0.170  0.500
Pm  0.000  0.000  0.735
Ac  0.333  0.667  0.000

* formation energy: 0.277 eV per atom


Entry 8:
First-principles (PBE) data for an optimized crystal structure of BaCaLa2Ni, as listed in Alexandria via LeMat-Bulk.

Lattice parameters (Å, degrees): 5.610 5.610 5.975 90.00 90.00 90.00
Positions (direct):
Ca  0.000  0.000  0.500
La  0.500  0.000  0.000
La  0.000  0.500  0.000
Ba  0.500  0.500  0.500
Ni  0.000  0.000  0.000

* relative energy among the computed polymorphs: 0.000 eV per atom
* formation energy: -0.057 eV per atom


Entry 9:
First-principles (PBE) data for an optimized crystal structure of ZrBiAu, as listed in Alexandria via LeMat-Bulk.

Lattice parameters (Å, degrees): 4.029 4.582 4.582 120.00 90.00 90.00
Positions (direct):
Bi  0.705  0.667  0.333
Zr  0.246  0.333  0.667
Au  0.050  0.000  0.000

* formation energy: -0.268 eV per atom


Entry 10:
First-principles (PBE) data for an optimized crystal structure of CeTm2H8, as listed in Alexandria via LeMat-Bulk.

Lattice parameters (Å, degrees): 3.616 5.274 6.312 114.70 106.65 90.00
Each line ends with the local moment (μB).
Positions (direct):
Tm  0.830  0.330  0.660  0.02
Tm  0.170  0.670  0.340  0.02
H  0.000  0.714  0.000  0.00
H  0.333  0.566  0.666  0.00
H  0.667  0.434  0.334  0.00
H  0.000  0.286  0.000  0.00
H  0.155  0.155  0.309  0.00
H  0.845  0.845  0.691  0.00
H  0.333  0.100  0.666  0.00
H  0.667  0.900  0.334  0.00
Ce  0.500  0.000  0.000  0.73

* energy: -48.208 eV/cell


Entry 11:
First-principles (PBE) data for an optimized crystal structure of LaPm5Y4, as listed in Alexandria via LeMat-Bulk.

Lattice parameters (Å, degrees): 3.508 6.898 14.384 97.11 97.00 90.00
Positions (direct):
Pm  0.794  0.897  0.589
Pm  0.500  0.500  0.000
Pm  0.206  0.103  0.411
Pm  0.202  0.600  0.403
Pm  0.798  0.400  0.597
Y  0.095  0.305  0.190
Y  0.391  0.193  0.782
Y  0.609  0.807  0.218
Y  0.905  0.695  0.810
La  0.500  0.000  0.000

* relative energy among the computed polymorphs: 0.124 eV per atom
* formation energy: 0.141 eV per atom